Entry from Alexandria: an optimized crystal structure of Ce5CoIr2 (PBE).

a b c (Å): 5.5414 6.6589 13.4778
angles (deg): 90.00 90.00 114.59
Site moments in Bohr magnetons follow the coordinates.
Fractional coordinates of all 16 atoms:
Ce1 0.9403 0.8806 0.8767  0.63
Ce2 0.9403 0.8806 0.6233  0.63
Ce3 0.3491 0.6981 0.4231  0.60
Ce4 0.3491 0.6981 0.0769  0.60
Ce5 0.7334 0.4668 0.2500  0.62
Ce6 0.2666 0.5332 0.7500  0.62
Ce7 0.6509 0.3019 0.5769  0.60
Ce8 0.6509 0.3019 0.9231  0.60
Ce9 0.0597 0.1194 0.1233  0.63
Ce10 0.0597 0.1194 0.3767  0.63
Co1 0.7860 0.5719 0.7500  -0.15
Co2 0.2140 0.4281 0.2500  -0.15
Ir1 0.8401 0.6803 0.4384  -0.05
Ir2 0.8401 0.6803 0.0616  -0.05
Ir3 0.1599 0.3197 0.5616  -0.05
Ir4 0.1599 0.3197 0.9384  -0.05

energy of formation from the pure elements = -0.300 eV per atom
SG = No. 63
DOS(E_F) = 49.7 states/eV/cell
total magnetic moment = 0.463 μB/atom